VASP calculation (PBE+U) on an optimized crystal structure of NaCoC2O6. Values from VASP.

Summary:
SG = R-3, No. 148
Crystal system = trigonal
Total magnetization = 0.00 μB per formula unit
VASP energy = -6.81 eV/atom

Quantum ESPRESSO input file:
```
&SYSTEM
  ibrav = 0, nat = 10, ntyp = 4
/
ATOMIC_SPECIES
Na 22.99 Na.upf
Co 58.93 Co.upf
C 12.01 C.upf
O 16.00 O.upf
CELL_PARAMETERS angstrom
2.325 1.342 5.412
-2.325 1.342 5.412
0.000 -2.684 5.412
ATOMIC_POSITIONS angstrom
Na 0.000 0.000 0.000
Co 0.000 0.000 8.118
C 0.000 0.000 3.782
C 0.000 0.000 12.454
O -1.036 -1.206 6.999
O -1.562 0.294 9.237
O 0.526 -1.500 9.237
O -0.526 1.500 6.999
O 1.562 -0.294 6.999
O 1.036 1.206 9.237
```